Here is a PBEsol-optimized structure of Sr2AlW from the Alexandria database. Energies are from meta-GGA SCAN.

It has space group Cmmm (No. 65), with a = 6.1826 Å, b = 10.2302 Å, c = 3.0327 Å, α = 90.00°, β = 90.00° and γ = 90.00°. Symmetry generates all atoms from Sr at (0.2500, 0.2500, 0.0000), Al at (0.0000, 0.0000, 0.5000) and W at (0.0000, 0.5000, 0.5000).

For the energy relative to the elements, the calculation gives 1041 meV/atom.



Here is a PBEsol-optimized structure of BPtSe2Br from the Alexandria database. Energies are from meta-GGA SCAN.

It has space group P4/mmm (No. 123), with a = 4.4805 Å, b = 4.4805 Å, c = 4.2057 Å, α = 90.00°, β = 90.00° and γ = 90.00°. Symmetry generates all atoms from B at (0.0000, 0.0000, 0.0000), Pt at (0.5000, 0.5000, 0.5000), Se at (0.0000, 0.5000, 0.0000) and Br at (0.0000, 0.0000, 0.5000).

The formation energy from raw total energies comes out at 1.1245 eV/atom.



Here is a PBEsol-optimized structure of Ni2SbOs from the Alexandria database. Energies are from meta-GGA SCAN.

It has space group C2/m (No. 12), with a = 8.5414 Å, b = 2.9345 Å, c = 4.5421 Å, α = 90.00°, β = 101.93° and γ = 90.00°. Symmetry generates all atoms from Ni at (0.2454, 0.0000, 0.2275), Sb at (0.0000, 0.0000, 0.5000) and Os at (0.0000, 0.5000, 0.0000).

The formation energy from raw total energies comes out at 0.3819 eV/atom.



Here is a PBEsol-optimized structure of TaCrAs2 from the Alexandria database. Energies are from meta-GGA SCAN.

It has space group P4/mmm (No. 123), with a = 4.3832 Å, b = 4.3832 Å, c = 3.1090 Å, α = 90.00°, β = 90.00° and γ = 90.00°. Symmetry generates all atoms from Ta at (0.0000, 0.0000, 0.0000), Cr at (0.5000, 0.5000, 0.0000) and As at (0.0000, 0.5000, 0.5000).

For the energy relative to the elements, the calculation gives -123 meV/atom.



Here is a PBEsol-optimized structure of BeCu2Ag from the Alexandria database. Energies are from meta-GGA SCAN.

It has space group P4/mmm (No. 123), with a = 2.7098 Å, b = 2.7098 Å, c = 6.3884 Å, α = 90.00°, β = 90.00° and γ = 90.00°. Symmetry generates all atoms from Be at (0.0000, 0.0000, 0.0000), Cu at (0.5000, 0.5000, 0.2005) and Ag at (0.0000, 0.0000, 0.5000).

For the energy relative to the elements, the calculation gives -30 meV/atom.



Here is a PBEsol-optimized structure of La2TaBr from the Alexandria database. Energies are from meta-GGA SCAN.

It has space group Fm-3m (No. 225), with a = 7.4502 Å, b = 7.4502 Å, c = 7.4502 Å, α = 90.00°, β = 90.00° and γ = 90.00°. Symmetry generates all atoms from La at (0.2500, 0.2500, 0.2500), Ta at (0.0000, 0.0000, 0.0000) and Br at (0.0000, 0.0000, 0.5000).

The formation energy from raw total energies comes out at 0.2430 eV/atom.



Number 1: size of the total moment 0.0 Bohr magnetons per cell, total DFT energy (no corrections) -29.46 eV per atom. Number 2: size of the total moment 0.0 Bohr magnetons per cell, total DFT energy (no corrections) -26.32 eV per atom. Number 3: size of the total moment 0.0 Bohr magnetons per cell, total DFT energy (no corrections) -34.99 eV per atom. Number 4: size of the total moment 2.3 Bohr magnetons per cell, total DFT energy (no corrections) -31.46 eV per atom. Number 5: size of the total moment 0.0 Bohr magnetons per cell, total DFT energy (no corrections) -16.56 eV per atom. Number 6: size of the total moment 0.0 Bohr magnetons per cell, total DFT energy (no corrections) -42.82 eV per atom.